# 1
Below is crystalline Li2TlAu at its relaxed geometry, with properties calculated at the GGA-PBEsol level.

Cell lengths 4.5571, 4.5571, 4.5571 Å; angles 120.60, 120.60, 88.96 degrees
Last column: nearest neighbours and their distance in Å.
Fractional positions:
Li  0.2500  0.7500  0.5000  4 Au 2.78, 4 Tl 2.78
Li  0.7500  0.2500  0.5000  4 Au 2.78, 4 Tl 2.78
Tl  0.0000  0.0000  0.0000  8 Li 2.78
Au  0.5000  0.5000  0.0000  8 Li 2.78

Results
Distance to the lowest polymorph of the same formula (meV per atom): 0
SG: I4/mmm (139)
Spin magnetization (μB per atom): 0.000


# 2
Below is crystalline LiTlAu4 at its relaxed geometry, with properties calculated at the GGA-PBEsol level.

Cell lengths 5.4967, 5.4967, 5.4967 Å; angles 60.00, 60.00, 60.00 degrees
Last column: nearest neighbours and their distance in Å.
Fractional positions:
Li  0.0000  0.0000  0.0000  12 Au 3.22, 4 Tl 3.37
Tl  0.7500  0.7500  0.7500  12 Au 3.22, 4 Li 3.37
Au  0.3746  0.3746  0.3746  6 Au 2.74-2.76
Au  0.3746  0.3746  0.8762  6 Au 2.74-2.76
Au  0.3746  0.8762  0.3746  6 Au 2.74-2.76
Au  0.8762  0.3746  0.3746  6 Au 2.74-2.76

Results
SG: F-43m (216)
Spin magnetization (μB per atom): 0.000
Energy (eV for the cell shown): -21.2


# 3
Below is crystalline LiTl2Au at its relaxed geometry, with properties calculated at the GGA-PBEsol level.

Cell lengths 5.0826, 5.0826, 5.2002 Å; angles 103.79, 103.79, 41.95 degrees
Last column: nearest neighbours and their distance in Å.
Fractional positions:
Li  0.0000  0.0000  0.0000  3 Au 2.77-3.06, 5 Tl 2.89-3.06
Tl  0.5279  0.5279  0.5645  3 Au 2.95-3.00, 2 Li 2.97, 3 Tl 3.07-3.23
Tl  0.7585  0.7585  0.2436  3 Li 2.89-3.06, 2 Au 2.96, 3 Tl 3.07-3.23
Au  0.2786  0.2786  0.8060  3 Li 2.77-3.06, 5 Tl 2.95-3.00

Results
SG: Cm (8)
Spin magnetization (μB per atom): 0.000
Energy (eV for the cell shown): -11.7


# 4
Below is crystalline Li2TlAu at its relaxed geometry, with properties calculated at the GGA-PBEsol level.

Cell lengths 3.2302, 3.2302, 6.4815 Å; angles 90.00, 90.00, 90.00 degrees
Last column: nearest neighbours and their distance in Å.
Fractional positions:
Li  0.0000  0.0000  0.2140  4 Au 2.67, 1 Li 2.77, 4 Tl 2.94
Li  0.0000  0.0000  0.7860  4 Au 2.67, 1 Li 2.77, 4 Tl 2.94
Tl  0.5000  0.5000  0.5000  8 Li 2.94, 4 Tl 3.23, 2 Au 3.24
Au  0.5000  0.5000  0.0000  8 Li 2.67

Results
Distance to the lowest polymorph of the same formula (meV per atom): 0
SG: P4/mmm (123)
Spin magnetization (μB per atom): 0.000